Record 1
The following is a GGA-PBEsol calculation of crystalline K2NbRe at its relaxed geometry, from Alexandria.

a = 5.245 Å, b = 5.245 Å, c = 5.245 Å
α = 60.00°, β = 60.00°, γ = 60.00°
Sites, in units of the cell vectors:
K (0.250, 0.250, 0.250)
K (0.750, 0.750, 0.750)
Nb (0.000, 0.000, 0.000)
Re (0.500, 0.500, 0.500)

Computed properties:
Crystal system: cubic

***

Record 2
The following is a GGA-PBEsol calculation of crystalline K3NbRu at its relaxed geometry, from Alexandria.

a = 6.350 Å, b = 6.350 Å, c = 6.350 Å
α = 90.00°, β = 90.00°, γ = 90.00°
Sites, in units of the cell vectors:
K (0.000, 0.000, 0.500)
K (0.000, 0.500, 0.000)
K (0.500, 0.000, 0.000)
Nb (0.000, 0.000, 0.000)
Ru (0.500, 0.500, 0.500)

Computed properties:
Crystal system: cubic

***

Number 1: spin magnetization 4.83 μB/cell, formation energy 266.9 kJ per mole of atoms. Number 2: spin magnetization 8.04 μB/cell, formation energy 228.0 kJ per mole of atoms.